Entry 1:
Density functional theory data (PBE) for Cu2PbSe2 after structural relaxation.

```
Cu2PbSe2
1.0
-3.5261 4.5278 3.2355
3.5261 -4.5278 3.2355
3.5261 4.5278 -3.2355
Cu Pb Se
4 2 4
Direct
0.1248 0.1627 0.2875
0.3752 0.6627 0.0378
0.6248 0.3373 0.9622
0.8752 0.8373 0.7125
0.2500 0.7500 0.5000
0.7500 0.2500 0.5000
0.1479 0.8252 0.9731
0.3521 0.3252 0.6774
0.6479 0.6748 0.3226
0.8521 0.1748 0.0269
```

Calculated total energy in eV per cell: -36.56
Density in g/cm³: 7.91

Entry 2:
Density functional theory data (PBE) for SrOsPd after structural relaxation.

```
SrOsPd
1.0
6.6072 0.0000 0.0000
0.0000 6.6072 0.0000
0.0000 0.0000 6.6072
Sr Os Pd
4 4 4
Direct
0.0000 0.0000 0.0000
0.0000 0.5000 0.5000
0.5000 0.0000 0.5000
0.5000 0.5000 0.0000
0.0000 0.0000 0.5000
0.0000 0.5000 0.0000
0.5000 0.0000 0.0000
0.5000 0.5000 0.5000
0.2500 0.2500 0.7500
0.2500 0.7500 0.2500
0.7500 0.2500 0.2500
0.7500 0.7500 0.7500
```

E above lowest polymorph in eV/atom: 0.000
Total magnetization in μB/cell: 8.91
Density in g/cm³: 8.85

Entry 3:
Density functional theory data (PBE) for Hf2MoPd after structural relaxation.

```
Hf2MoPd
1.0
6.5935 0.0000 0.0000
0.0000 6.5935 0.0000
0.0000 0.0000 6.5935
Hf Mo Pd
8 4 4
Direct
0.0000 0.0000 0.0000
0.0000 0.5000 0.5000
0.2500 0.2500 0.2500
0.2500 0.7500 0.7500
0.5000 0.0000 0.5000
0.5000 0.5000 0.0000
0.7500 0.2500 0.7500
0.7500 0.7500 0.2500
0.2500 0.2500 0.7500
0.2500 0.7500 0.2500
0.7500 0.2500 0.2500
0.7500 0.7500 0.7500
0.0000 0.0000 0.5000
0.0000 0.5000 0.0000
0.5000 0.0000 0.0000
0.5000 0.5000 0.5000
```

Total magnetization in μB/cell: 0.01
Energy relative to the elements in kJ per mole of atoms: 0
Density in g/cm³: 12.96

Entry 4:
Density functional theory data (PBE) for TbBeO3 after structural relaxation.

```
TbBeO3
1.0
3.3261 0.0000 0.0000
0.0000 3.3261 0.0000
0.0000 0.0000 4.3368
Tb Be O
1 1 3
Direct
0.0000 0.0000 0.0000
0.5000 0.5000 0.4968
0.0000 0.5000 0.6122
0.5000 0.0000 0.6122
0.5000 0.5000 0.1259
```

Total magnetization in μB/cell: 0.22
Calculated total energy in eV per cell: -35.93
Density in g/cm³: 7.47

Entry 5:
Density functional theory data (PBE) for CsAgOsSe3 after structural relaxation.

```
CsAgOsSe3
1.0
1.9525 -8.1446 0.0000
1.9525 8.1446 0.0000
0.0000 0.0000 10.0886
Cs Ag Os Se
2 2 2 6
Direct
0.2399 0.7601 0.7500
0.7601 0.2399 0.2500
0.4551 0.5449 0.2500
0.5449 0.4551 0.7500
0.0000 0.0000 0.0000
0.0000 0.0000 0.5000
0.0643 0.9357 0.2500
0.3993 0.6007 0.0165
0.3993 0.6007 0.4835
0.6007 0.3993 0.5165
0.6007 0.3993 0.9835
0.9357 0.0643 0.7500
```

E above lowest polymorph in eV/atom: 0.136
Total magnetization in μB/cell: 0.25
Density in g/cm³: 6.91

Entry 6:
Density functional theory data (PBE) for InCo2CuTe4 after structural relaxation.

```
InCo2CuTe4
1.0
6.0687 0.0000 0.0000
0.0000 6.0687 0.0000
0.0000 0.0000 11.7174
In Co Cu Te
2 4 2 8
Direct
0.0000 0.0000 0.0000
0.5000 0.5000 0.5000
0.0000 0.5000 0.2500
0.0000 0.5000 0.7500
0.5000 0.0000 0.2500
0.5000 0.0000 0.7500
0.0000 0.0000 0.5000
0.5000 0.5000 0.0000
0.2284 0.2284 0.6430
0.2284 0.7716 0.3570
0.2716 0.2716 0.1430
0.2716 0.7284 0.8570
0.7284 0.2716 0.8570
0.7284 0.7284 0.1430
0.7716 0.2284 0.3570
0.7716 0.7716 0.6430
```

Total magnetization in μB/cell: 5.30
Calculated total energy in eV per cell: -66.58
Density in g/cm³: 6.21

Entry 7:
Density functional theory data (PBE) for LiCu2Ge after structural relaxation.

```
LiCu2Ge
1.0
3.0799 0.0000 0.0000
0.0000 3.0799 0.0000
0.0000 0.0000 5.5675
Li Cu Ge
1 2 1
Direct
0.0000 0.0000 0.0000
0.5000 0.5000 0.2377
0.5000 0.5000 0.7623
0.0000 0.0000 0.5000
```

Calculated total energy in eV per cell: -14.03
Density in g/cm³: 6.50

Entry 8:
Density functional theory data (PBE) for CdFePt6 after structural relaxation.

```
CdFePt6
1.0
3.9791 0.0000 0.0000
0.0000 3.9791 0.0000
0.0000 0.0000 7.9331
Cd Fe Pt
1 1 6
Direct
0.0000 0.0000 0.0000
0.0000 0.0000 0.5000
0.0000 0.5000 0.2633
0.0000 0.5000 0.7367
0.5000 0.0000 0.2633
0.5000 0.0000 0.7367
0.5000 0.5000 0.0000
0.5000 0.5000 0.5000
```

Total magnetization in μB/cell: 4.30
Energy relative to the elements in kJ per mole of atoms: -20
Density in g/cm³: 17.70

Entry 9:
Density functional theory data (PBE) for ZrZn2In2 after structural relaxation.

```
ZrZn2In2
1.0
4.2130 0.0000 0.0000
0.0000 4.2130 0.0000
0.0000 0.0000 11.3669
Zr Zn In
2 4 4
Direct
0.0000 0.0000 0.0000
0.5000 0.5000 0.5000
0.0000 0.0000 0.4002
0.0000 0.0000 0.5998
0.5000 0.5000 0.0998
0.5000 0.5000 0.9002
0.0000 0.5000 0.2500
0.0000 0.5000 0.7500
0.5000 0.0000 0.2500
0.5000 0.0000 0.7500
```

Total magnetization in μB/cell: 0.03
Calculated total energy in eV per cell: -32.62
Density in g/cm³: 7.44

Entry 10:
Density functional theory data (PBE) for RbPrCdTe3 after structural relaxation.

```
RbPrCdTe3
1.0
12.1509 0.0000 0.0000
0.0000 4.6231 0.0000
0.0000 0.0000 16.2707
Rb Pr Cd Te
4 4 4 12
Direct
0.2348 0.2500 0.0023
0.2652 0.7500 0.5023
0.7348 0.2500 0.4977
0.7652 0.7500 0.9977
0.0107 0.7500 0.7466
0.4893 0.2500 0.2466
0.5107 0.7500 0.7534
0.9893 0.2500 0.2534
0.2407 0.7500 0.2152
0.2593 0.2500 0.7152
0.7407 0.7500 0.2848
0.7593 0.2500 0.7848
0.0443 0.7500 0.1216
0.0679 0.2500 0.6160
0.2405 0.2500 0.3238
0.2595 0.7500 0.8238
0.4321 0.7500 0.1160
0.4557 0.2500 0.6216
0.5443 0.7500 0.3784
0.5679 0.2500 0.8840
0.7405 0.2500 0.1762
0.7595 0.7500 0.6762
0.9321 0.7500 0.3840
0.9557 0.2500 0.8784
```

E above lowest polymorph in eV/atom: 0.001
Total magnetization in μB/cell: 0.01
Density in g/cm³: 5.24

Entry 11:
Density functional theory data (PBE) for Pr3Zn3Ir2Pt after structural relaxation.

```
Pr3Zn3Ir2Pt
1.0
7.3681 0.0000 0.0000
-3.6841 6.3810 0.0000
0.0000 0.0000 4.0265
Pr Zn Ir Pt
3 3 2 1
Direct
0.0000 0.4126 0.0000
0.4126 0.0000 0.0000
0.5874 0.5874 0.0000
0.0000 0.7555 0.5000
0.2445 0.2445 0.5000
0.7555 0.0000 0.5000
0.3333 0.6667 0.5000
0.6667 0.3333 0.5000
0.0000 0.0000 0.0000
```

Total magnetization in μB/cell: 0.01
Energy relative to the elements in kJ per mole of atoms: -65
Density in g/cm³: 10.51

Entry 12:
Density functional theory data (PBE) for SrBe2Co after structural relaxation.

```
SrBe2Co
1.0
6.3329 0.0000 0.0000
0.0000 6.3329 0.0000
0.0000 0.0000 6.3329
Sr Be Co
4 8 4
Direct
0.0000 0.0000 0.0000
0.0000 0.5000 0.5000
0.5000 0.0000 0.5000
0.5000 0.5000 0.0000
0.0000 0.0000 0.5000
0.0000 0.5000 0.0000
0.2500 0.2500 0.7500
0.2500 0.7500 0.2500
0.5000 0.0000 0.0000
0.5000 0.5000 0.5000
0.7500 0.2500 0.2500
0.7500 0.7500 0.7500
0.2500 0.2500 0.2500
0.2500 0.7500 0.7500
0.7500 0.2500 0.7500
0.7500 0.7500 0.2500
```

Total magnetization in μB/cell: 3.88
Calculated total energy in eV per cell: -51.03
Density in g/cm³: 4.30